No. 1
Entry from Alexandria via LeMat-Bulk: AlBi2IrW after structural relaxation (GGA-PBE).

Results
The symmetry is P4/mmm, No. 123. The value obtained for the electronic total energy is -26.86 eV for the cell shown.

a = 5.390 Å, b = 5.390 Å, c = 4.915 Å
α = 90.00°, β = 90.00°, γ = 90.00°
Atoms (fractional coordinates):
Al (0.000, 0.000, 0.000)
Bi (0.000, 0.500, 0.500)
Bi (0.500, 0.000, 0.500)
Ir (0.500, 0.500, 0.500)
W (0.500, 0.500, 0.000)

No. 2
Entry from Alexandria via LeMat-Bulk: KY2Tc after structural relaxation (GGA-PBE).

Results
The symmetry is Cmm2, No. 35. The value obtained for the electronic total energy is -21.72 eV for the cell shown.

a = 3.297 Å, b = 3.297 Å, c = 11.584 Å
α = 90.00°, β = 90.00°, γ = 112.10°
Atoms (fractional coordinates):
K (0.000, 0.000, 0.000)
Y (0.000, 0.000, 0.410)
Y (0.500, 0.500, 0.679)
Tc (0.500, 0.500, 0.241)

No. 3
Entry from Alexandria via LeMat-Bulk: K3Y3PuS8 after structural relaxation (GGA-PBE).

Results
The symmetry is R-3m, No. 166. The value obtained for the electronic total energy is -96.90 eV for the cell shown.

a = 8.808 Å, b = 8.808 Å, c = 8.808 Å
α = 54.45°, β = 54.45°, γ = 54.45°
Atoms (fractional coordinates):
K (0.000, 0.500, 0.500)
K (0.500, 0.000, 0.500)
K (0.500, 0.500, 0.000)
Y (0.000, 0.000, 0.500)
Y (0.000, 0.500, 0.000)
Y (0.500, 0.000, 0.000)
Pu (0.500, 0.500, 0.500)
S (0.234, 0.234, 0.234)
S (0.238, 0.728, 0.728)
S (0.272, 0.272, 0.762)
S (0.272, 0.762, 0.272)
S (0.728, 0.238, 0.728)
S (0.728, 0.728, 0.238)
S (0.762, 0.272, 0.272)
S (0.766, 0.766, 0.766)

No. 4
Entry from Alexandria via LeMat-Bulk: YOs2F after structural relaxation (GGA-PBE).

Results
The symmetry is Fm-3m, No. 225. The value obtained for the electronic total energy is -26.97 eV for the cell shown.

a = 4.592 Å, b = 4.592 Å, c = 4.592 Å
α = 60.00°, β = 60.00°, γ = 60.00°
Atoms (fractional coordinates):
Y (0.000, 0.000, 0.000)
Os (0.250, 0.250, 0.250)
Os (0.750, 0.750, 0.750)
F (0.500, 0.500, 0.500)

No. 5
Entry from Alexandria via LeMat-Bulk: Dy3RuAu after structural relaxation (GGA-PBE).

Results
The symmetry is P2_1/c, No. 14. The value obtained for the electronic total energy is -115.97 eV for the cell shown.

a = 8.707 Å, b = 7.279 Å, c = 8.184 Å
α = 90.00°, β = 106.82°, γ = 90.00°
Atoms (fractional coordinates):
Dy (0.038, 0.006, 0.213)
Dy (0.038, 0.494, 0.713)
Dy (0.264, 0.648, 0.093)
Dy (0.264, 0.852, 0.593)
Dy (0.350, 0.185, 0.970)
Dy (0.350, 0.315, 0.470)
Dy (0.650, 0.685, 0.530)
Dy (0.650, 0.815, 0.030)
Dy (0.736, 0.148, 0.407)
Dy (0.736, 0.352, 0.907)
Dy (0.962, 0.506, 0.287)
Dy (0.962, 0.994, 0.787)
Ru (0.079, 0.185, 0.534)
Ru (0.079, 0.315, 0.034)
Ru (0.921, 0.685, 0.966)
Ru (0.921, 0.815, 0.466)
Au (0.416, 0.542, 0.801)
Au (0.416, 0.958, 0.301)
Au (0.584, 0.042, 0.699)
Au (0.584, 0.458, 0.199)

No. 6
Entry from Alexandria via LeMat-Bulk: AlGeSbTe2 after structural relaxation (GGA-PBE).

Results
The symmetry is P4/mmm, No. 123. The value obtained for the electronic total energy is -16.39 eV for the cell shown.

a = 5.307 Å, b = 5.307 Å, c = 5.264 Å
α = 90.00°, β = 90.00°, γ = 90.00°
Atoms (fractional coordinates):
Al (0.000, 0.000, 0.000)
Ge (0.500, 0.500, 0.500)
Sb (0.000, 0.000, 0.500)
Te (0.000, 0.500, 0.000)
Te (0.500, 0.000, 0.000)